[1]
Li2NdMgCd4 | PBE | optimized geometry

Calculated values
The energy of formation comes out at -0.212 eV/atom. The value obtained for the density of states at the Fermi level is 4.07 states/eV/f.u. The calculation puts the density at 5.79 g cm⁻³.

```
data_Li2NdMgCd4
_chemical_formula_sum 'Li6 Nd3 Mg3 Cd12'
_symmetry_space_group_name_H-M 'R -3 m'
_symmetry_Int_Tables_number 166
_symmetry_space_group_name_Hall '-R 3 2"'
_cell_length_a 4.7976
_cell_length_b 4.7976
_cell_length_c 27.2993
_cell_angle_alpha 90.00
_cell_angle_beta 90.00
_cell_angle_gamma 120.00
loop_
_atom_site_label
_atom_site_type_symbol
_atom_site_fract_x
_atom_site_fract_y
_atom_site_fract_z
Li1 Li 0.0000 0.0000 0.2387
Nd1 Nd 0.0000 0.0000 0.0000
Mg1 Mg 0.0000 0.0000 0.5000
Cd1 Cd 0.0000 0.0000 0.1237
Cd2 Cd 0.0000 0.0000 0.3932
```



[2]
Ca2Ac6Dy | PBE | optimized geometry

Calculated values
The energy of formation comes out at 0.085 eV/atom. The value obtained for the density of states at the Fermi level is 17.20 states/eV/f.u. The calculation puts the density at 6.86 g cm⁻³.

```
data_Ca2Ac6Dy
_chemical_formula_sum 'Ca2 Ac6 Dy1'
_symmetry_space_group_name_H-M 'P -6 m 2'
_symmetry_Int_Tables_number 187
_symmetry_space_group_name_Hall 'P -6 2'
_cell_length_a 3.9145
_cell_length_b 3.9145
_cell_length_c 29.2779
_cell_angle_alpha 90.00
_cell_angle_beta 90.00
_cell_angle_gamma 120.00
loop_
_atom_site_label
_atom_site_type_symbol
_atom_site_fract_x
_atom_site_fract_y
_atom_site_fract_z
Ca1 Ca 0.0000 0.0000 0.1733
Ac1 Ac 0.0000 0.0000 0.3981
Ac2 Ac 0.6667 0.3333 0.0637
Ac3 Ac 0.6667 0.3333 0.2856
Dy1 Dy 0.6667 0.3333 0.5000
```



[3]
ReAu2Cl | PBE | optimized geometry

Calculated values
The calculation puts the uncorrected formation energy at 356 meV/atom. The value obtained for the density of states at the Fermi level is 2.52 states/eV/f.u. The calculation puts the density at 13.18 g cm⁻³.

```
data_ReAu2Cl
_chemical_formula_sum 'Re1 Au2 Cl1'
_symmetry_space_group_name_H-M 'P 1 m 1'
_symmetry_Int_Tables_number 6
_cell_length_a 2.815
_cell_length_b 3.022
_cell_length_c 9.153
_cell_angle_alpha 90.00
_cell_angle_beta 94.96
_cell_angle_gamma 90.00
loop_
_symmetry_equiv_pos_as_xyz
'x,y,z'
'x,-y,z'
loop_
_atom_site_label
_atom_site_type_symbol
_atom_site_fract_x
_atom_site_fract_y
_atom_site_fract_z
Re1 Re 0.000 0.000 0.000
Au1 Au 0.126 0.000 0.445
Au2 Au 0.561 0.500 0.216
Cl1 Cl 0.945 0.500 0.806
```



[4]
Tl2CrSe | PBE | optimized geometry

Calculated values
The calculation puts the uncorrected formation energy at 92 meV/atom. The value obtained for the density of states at the Fermi level is 2.18 states/eV/f.u. The calculation puts the density at 8.83 g cm⁻³.

```
data_Tl2CrSe
_chemical_formula_sum 'Tl4 Cr2 Se2'
_symmetry_space_group_name_H-M 'C 1 m 1'
_symmetry_Int_Tables_number 8
_cell_length_a 11.559
_cell_length_b 3.468
_cell_length_c 5.538
_cell_angle_alpha 90.00
_cell_angle_beta 113.95
_cell_angle_gamma 90.00
loop_
_symmetry_equiv_pos_as_xyz
'x,y,z'
'x,-y,z'
'x+1/2,y+1/2,z'
'x+1/2,-y+1/2,z'
loop_
_atom_site_label
_atom_site_type_symbol
_atom_site_fract_x
_atom_site_fract_y
_atom_site_fract_z
Tl1 Tl 0.000 0.000 0.000
Tl2 Tl 0.206 0.000 0.662
Cr1 Cr 0.447 0.000 0.482
Se1 Se 0.293 0.500 0.244
```



[5]
AlZn6Pd2 | PBE | optimized geometry

Calculated values
The energy of formation comes out at -0.263 eV/atom. The value obtained for the density of states at the Fermi level is 1.70 states/eV/f.u. The calculation puts the density at 7.52 g cm⁻³.

```
data_AlZn6Pd2
_chemical_formula_sum 'Al2 Zn12 Pd4'
_symmetry_space_group_name_H-M 'C 1 2/m 1'
_symmetry_Int_Tables_number 12
_cell_length_a 6.800
_cell_length_b 12.617
_cell_length_c 3.459
_cell_angle_alpha 90.00
_cell_angle_beta 109.86
_cell_angle_gamma 90.00
loop_
_symmetry_equiv_pos_as_xyz
'x,y,z'
'-x,-y,-z'
'-x,y,-z'
'x,-y,z'
'x+1/2,y+1/2,z'
'-x+1/2,-y+1/2,-z'
'-x+1/2,y+1/2,-z'
'x+1/2,-y+1/2,z'
loop_
_atom_site_label
_atom_site_type_symbol
_atom_site_fract_x
_atom_site_fract_y
_atom_site_fract_z
Al1 Al 0.000 0.000 0.000
Zn1 Zn 0.163 0.500 0.306
Zn2 Zn 0.180 0.334 0.786
Pd1 Pd 0.000 0.145 0.500
```



[6]
Li9Ca2Cd | PBE | optimized geometry

Calculated values
The energy of formation comes out at 0.022 eV/atom. The value obtained for the density of states at the Fermi level is 5.56 states/eV/f.u. The calculation puts the density at 1.54 g cm⁻³.

```
data_Li9Ca2Cd
_chemical_formula_sum 'Li27 Ca6 Cd3'
_symmetry_space_group_name_H-M 'R -3 m'
_symmetry_Int_Tables_number 166
_symmetry_space_group_name_Hall '-R 3 2"'
_cell_length_a 5.8687
_cell_length_b 5.8687
_cell_length_c 27.6741
_cell_angle_alpha 90.00
_cell_angle_beta 90.00
_cell_angle_gamma 120.00
loop_
_atom_site_label
_atom_site_type_symbol
_atom_site_fract_x
_atom_site_fract_y
_atom_site_fract_z
Li1 Li 0.0000 0.0000 0.0000
Li2 Li 0.0000 0.0000 0.1655
Li3 Li 0.0044 0.5022 0.4207
Ca1 Ca 0.0000 0.0000 0.3653
Cd1 Cd 0.0000 0.0000 0.5000
```



[7]
Mg2CdAg2 | PBE | optimized geometry

Calculated values
The energy of formation comes out at -0.130 eV/atom. The value obtained for the density of states at the Fermi level is 0.98 states/eV/f.u. The calculation puts the density at 6.42 g cm⁻³.

```
data_Mg2CdAg2
_chemical_formula_sum 'Mg4 Cd2 Ag4'
_symmetry_space_group_name_H-M 'C 1 2/m 1'
_symmetry_Int_Tables_number 12
_cell_length_a 16.625
_cell_length_b 3.680
_cell_length_c 3.248
_cell_angle_alpha 90.00
_cell_angle_beta 101.07
_cell_angle_gamma 90.00
loop_
_symmetry_equiv_pos_as_xyz
'x,y,z'
'-x,-y,-z'
'-x,y,-z'
'x,-y,z'
'x+1/2,y+1/2,z'
'-x+1/2,-y+1/2,-z'
'-x+1/2,y+1/2,-z'
'x+1/2,-y+1/2,z'
loop_
_atom_site_label
_atom_site_type_symbol
_atom_site_fract_x
_atom_site_fract_y
_atom_site_fract_z
Mg1 Mg 0.192 0.000 0.194
Cd1 Cd 0.000 0.000 0.000
Ag1 Ag 0.104 0.500 0.606
```



[8]
Zr4HN | PBE | optimized geometry

Calculated values
The value obtained for the calculated total energy is -49.97 eV/f.u. The value obtained for the density of states at the Fermi level is 4.52 states/eV/f.u. The calculation puts the density at 6.47 g cm⁻³.

```
data_Zr4HN
_chemical_formula_sum 'Zr16 H4 N4'
_symmetry_space_group_name_H-M 'C 1 2/c 1'
_symmetry_Int_Tables_number 15
_cell_length_a 6.468
_cell_length_b 13.084
_cell_length_c 5.598
_cell_angle_alpha 90.00
_cell_angle_beta 124.56
_cell_angle_gamma 90.00
loop_
_symmetry_equiv_pos_as_xyz
'x,y,z'
'-x,-y,-z'
'-x,y,-z+1/2'
'x,-y,z+1/2'
'x+1/2,y+1/2,z'
'-x+1/2,-y+1/2,-z'
'-x+1/2,y+1/2,-z+1/2'
'x+1/2,-y+1/2,z+1/2'
loop_
_atom_site_label
_atom_site_type_symbol
_atom_site_fract_x
_atom_site_fract_y
_atom_site_fract_z
Zr1 Zr 0.249 0.062 0.250
Zr2 Zr 0.249 0.188 0.737
H1 H 0.000 0.310 0.750
N1 N 0.000 0.187 0.250
```